LaNdGdPb (PBE, optimized geometry); uncorrected energy = -7.075 eV per atom; volume = 31.85 Å³/atom; formation enthalpy at 0 K = -0.203 eV/atom; symmetry = F-43m (216); magnetization = 8.2 μB/cell; D(E_F) = 1.404 states/eV per atom
1.0
0.000 3.994 3.994
3.994 0.000 3.994
3.994 3.994 0.000
La Nd Gd Pb
1 1 1 1
direct
0.000 0.000 0.000
0.500 0.500 0.500
0.750 0.750 0.750
0.250 0.250 0.250



LaPmNdGd (PBE, optimized geometry); uncorrected energy = -7.015 eV per atom; volume = 35.18 Å³/atom; formation enthalpy at 0 K = 0.116 eV/atom; symmetry = F-43m (216); magnetization = 9.0 μB/cell; D(E_F) = 1.805 states/eV per atom
1.0
0.000 4.128 4.128
4.128 0.000 4.128
4.128 4.128 0.000
La Pm Nd Gd
1 1 1 1
direct
0.000 0.000 0.000
0.250 0.250 0.250
0.750 0.750 0.750
0.500 0.500 0.500



LaNdGdRu (PBE, optimized geometry); uncorrected energy = -8.091 eV per atom; volume = 26.09 Å³/atom; formation enthalpy at 0 K = 0.172 eV/atom; symmetry = F-43m (216); magnetization = 7.9 μB/cell; D(E_F) = 1.769 states/eV per atom
1.0
0.000 3.737 3.737
3.737 0.000 3.737
3.737 3.737 0.000
La Nd Gd Ru
1 1 1 1
direct
0.000 0.000 0.000
0.500 0.500 0.500
0.750 0.750 0.750
0.250 0.250 0.250



LaNdGdSc (PBE, optimized geometry); uncorrected energy = -7.427 eV per atom; volume = 32.26 Å³/atom; formation enthalpy at 0 K = 0.100 eV/atom; symmetry = F-43m (216); magnetization = 7.6 μB/cell; D(E_F) = 1.858 states/eV per atom
1.0
0.000 4.011 4.011
4.011 0.000 4.011
4.011 4.011 0.000
La Nd Gd Sc
1 1 1 1
direct
0.000 0.000 0.000
0.500 0.500 0.500
0.750 0.750 0.750
0.250 0.250 0.250



LaNdSmGd (PBE, optimized geometry); uncorrected energy = -7.012 eV per atom; volume = 34.93 Å³/atom; formation enthalpy at 0 K = 0.111 eV/atom; symmetry = F-43m (216); magnetization = 8.3 μB/cell; D(E_F) = 2.194 states/eV per atom
1.0
0.000 4.118 4.118
4.118 0.000 4.118
4.118 4.118 0.000
La Nd Sm Gd
1 1 1 1
direct
0.000 0.000 0.000
0.500 0.500 0.500
0.250 0.250 0.250
0.750 0.750 0.750



LaNdGdSn (PBE, optimized geometry); uncorrected energy = -7.212 eV per atom; volume = 30.76 Å³/atom; formation enthalpy at 0 K = -0.267 eV/atom; symmetry = F-43m (216); magnetization = 8.2 μB/cell; D(E_F) = 1.289 states/eV per atom
1.0
0.000 3.948 3.948
3.948 0.000 3.948
3.948 3.948 0.000
La Nd Gd Sn
1 1 1 1
direct
0.000 0.000 0.000
0.250 0.250 0.250
0.500 0.500 0.500
0.750 0.750 0.750



LaTbNdGd (PBE, optimized geometry); uncorrected energy = -6.997 eV per atom; volume = 34.46 Å³/atom; formation enthalpy at 0 K = 0.105 eV/atom; symmetry = F-43m (216); magnetization = 8.0 μB/cell; D(E_F) = 2.104 states/eV per atom
1.0
0.000 4.100 4.100
4.100 0.000 4.100
4.100 4.100 0.000
La Tb Nd Gd
1 1 1 1
direct
0.000 0.000 0.000
0.750 0.750 0.750
0.500 0.500 0.500
0.250 0.250 0.250



LaNdGdTl (PBE, optimized geometry); uncorrected energy = -6.651 eV per atom; volume = 31.57 Å³/atom; formation enthalpy at 0 K = -0.115 eV/atom; symmetry = F-43m (216); magnetization = 8.5 μB/cell; D(E_F) = 1.438 states/eV per atom
1.0
0.000 3.982 3.982
3.982 0.000 3.982
3.982 3.982 0.000
La Nd Gd Tl
1 1 1 1
direct
0.000 0.000 0.000
0.500 0.500 0.500
0.750 0.750 0.750
0.250 0.250 0.250



LaNdGdZn (PBE, optimized geometry); uncorrected energy = -6.249 eV per atom; volume = 29.37 Å³/atom; formation enthalpy at 0 K = 0.014 eV/atom; symmetry = F-43m (216); magnetization = 7.9 μB/cell; D(E_F) = 1.544 states/eV per atom
1.0
0.000 3.887 3.887
3.887 0.000 3.887
3.887 3.887 0.000
La Nd Gd Zn
1 1 1 1
direct
0.000 0.000 0.000
0.500 0.500 0.500
0.750 0.750 0.750
0.250 0.250 0.250



LaGdNi (PBE, optimized geometry); uncorrected energy = -8.358 eV per atom; volume = 27.42 Å³/atom; formation enthalpy at 0 K = -0.095 eV/atom; symmetry = F-43m (216); offset from the most stable computed form = 0.083 eV/atom; magnetization = 7.3 μB/cell; D(E_F) = 1.597 states/eV per atom
1.0
0.000 3.452 3.452
3.452 0.000 3.452
3.452 3.452 0.000
La Gd Ni
1 1 1
direct
0.000 0.000 0.000
0.500 0.500 0.500
0.750 0.750 0.750



LaGd2Ni (PBE, optimized geometry); uncorrected energy = -9.809 eV per atom; volume = 29.76 Å³/atom; formation enthalpy at 0 K = -0.091 eV/atom; symmetry = R-3m (166); offset from the most stable computed form = 0.059 eV/atom; magnetization = 14.8 μB/cell; D(E_F) = 1.378 states/eV per atom
1.0
1.906 1.100 9.465
-1.906 1.100 9.465
0.000 -2.200 9.465
La Gd Ni
1 2 1
direct
0.000 0.000 0.000
0.224 0.224 0.224
0.776 0.776 0.776
0.500 0.500 0.500



LaGdNi (PBE, optimized geometry); uncorrected energy = -8.412 eV per atom; volume = 29.22 Å³/atom; formation enthalpy at 0 K = -0.148 eV/atom; symmetry = P3m1 (156); offset from the most stable computed form = 0.029 eV/atom; magnetization = 7.6 μB/cell; D(E_F) = 1.343 states/eV per atom
1.0
3.965 0.000 0.000
-1.982 3.433 0.000
0.000 0.000 6.439
La Gd Ni
1 1 1
direct
0.000 0.000 0.000
0.333 0.667 0.492
0.667 0.333 0.253



La2GdNi (PBE, optimized geometry); uncorrected energy = -7.522 eV per atom; volume = 28.82 Å³/atom; formation enthalpy at 0 K = -0.093 eV/atom; symmetry = P4/mmm (123); offset from the most stable computed form = 0.000 eV/atom; magnetization = 8.6 μB/cell; D(E_F) = 1.383 states/eV per atom
1.0
3.622 0.000 0.000
0.000 3.622 0.000
0.000 0.000 8.786
La Gd Ni
2 1 1
direct
0.000 0.000 0.191
0.000 0.000 0.809
0.500 0.500 0.500
0.500 0.500 0.000



La2GdNi (PBE, optimized geometry); uncorrected energy = -7.357 eV per atom; volume = 32.11 Å³/atom; formation enthalpy at 0 K = 0.073 eV/atom; symmetry = R-3m (166); offset from the most stable computed form = 0.165 eV/atom; magnetization = 7.9 μB/cell; D(E_F) = 1.880 states/eV per atom
1.0
1.880 1.085 10.493
-1.880 1.085 10.493
0.000 -2.170 10.493
La Gd Ni
2 1 1
direct
0.110 0.110 0.110
0.890 0.890 0.890
0.000 0.000 0.000
0.500 0.500 0.500



LaGdNi (PBE, optimized geometry); uncorrected energy = -8.441 eV per atom; volume = 26.36 Å³/atom; formation enthalpy at 0 K = -0.177 eV/atom; symmetry = I4mm (107); offset from the most stable computed form = 0.000 eV/atom; magnetization = 7.4 μB/cell; D(E_F) = 1.397 states/eV per atom
1.0
-1.754 1.754 6.426
1.754 -1.754 6.426
1.754 1.754 -6.426
La Gd Ni
1 1 1
direct
0.000 0.000 0.000
0.257 0.257 0.000
0.639 0.639 0.000



LaGd2Ni (PBE, optimized geometry); uncorrected energy = -9.868 eV per atom; volume = 27.47 Å³/atom; formation enthalpy at 0 K = -0.151 eV/atom; symmetry = P4/mmm (123); offset from the most stable computed form = 0.000 eV/atom; magnetization = 14.2 μB/cell; D(E_F) = 1.186 states/eV per atom
1.0
3.493 0.000 0.000
0.000 3.493 0.000
0.000 0.000 9.007
La Gd Ni
1 2 1
direct
0.000 0.000 0.000
0.500 0.500 0.321
0.500 0.500 0.679
0.000 0.000 0.500



LaGdNiOs (PBE, optimized geometry); uncorrected energy = -9.139 eV per atom; volume = 21.36 Å³/atom; formation enthalpy at 0 K = -0.134 eV/atom; symmetry = F-43m (216); magnetization = 7.0 μB/cell; D(E_F) = 0.861 states/eV per atom
1.0
0.000 3.496 3.496
3.496 0.000 3.496
3.496 3.496 0.000
La Gd Ni Os
1 1 1 1
direct
0.000 0.000 0.000
0.500 0.500 0.500
0.250 0.250 0.250
0.750 0.750 0.750



LaGdNiRh (PBE, optimized geometry); uncorrected energy = -8.537 eV per atom; volume = 21.64 Å³/atom; formation enthalpy at 0 K = -0.502 eV/atom; symmetry = F-43m (216); magnetization = 7.1 μB/cell; D(E_F) = 0.695 states/eV per atom
1.0
0.000 3.511 3.511
3.511 0.000 3.511
3.511 3.511 0.000
La Gd Ni Rh
1 1 1 1
direct
0.000 0.000 0.000
0.500 0.500 0.500
0.750 0.750 0.750
0.250 0.250 0.250



LaGdNiRu (PBE, optimized geometry); uncorrected energy = -8.754 eV per atom; volume = 21.31 Å³/atom; formation enthalpy at 0 K = -0.238 eV/atom; symmetry = F-43m (216); magnetization = 7.0 μB/cell; D(E_F) = 1.084 states/eV per atom
1.0
0.000 3.493 3.493
3.493 0.000 3.493
3.493 3.493 0.000
La Gd Ni Ru
1 1 1 1
direct
0.000 0.000 0.000
0.500 0.500 0.500
0.750 0.750 0.750
0.250 0.250 0.250



LaGdSiNi (PBE, optimized geometry); uncorrected energy = -7.955 eV per atom; volume = 22.72 Å³/atom; symmetry = F-43m (216); magnetization = 7.2 μB/cell; energy relative to the elements, uncorrected = -0.402 eV per atom; D(E_F) = 0.562 states/eV per atom
1.0
0.000 3.568 3.568
3.568 0.000 3.568
3.568 3.568 0.000
La Gd Si Ni
1 1 1 1
direct
0.000 0.000 0.000
0.500 0.500 0.500
0.250 0.250 0.250
0.750 0.750 0.750



LaGdNiSn (PBE, optimized geometry); uncorrected energy = -7.601 eV per atom; volume = 25.83 Å³/atom; formation enthalpy at 0 K = -0.403 eV/atom; symmetry = F-43m (216); magnetization = 7.2 μB/cell; D(E_F) = 0.893 states/eV per atom
1.0
0.000 3.725 3.725
3.725 0.000 3.725
3.725 3.725 0.000
La Gd Ni Sn
1 1 1 1
direct
0.000 0.000 0.000
0.500 0.500 0.500
0.250 0.250 0.250
0.750 0.750 0.750



LaGdZnNi (PBE, optimized geometry); uncorrected energy = -6.781 eV per atom; volume = 23.14 Å³/atom; formation enthalpy at 0 K = -0.265 eV/atom; symmetry = F-43m (216); magnetization = 7.2 μB/cell; D(E_F) = 0.867 states/eV per atom
1.0
0.000 3.590 3.590
3.590 0.000 3.590
3.590 3.590 0.000
La Gd Zn Ni
1 1 1 1
direct
0.000 0.000 0.000
0.500 0.500 0.500
0.250 0.250 0.250
0.750 0.750 0.750



La3Gd5O12 (PBE, optimized geometry); uncorrected energy = -10.554 eV per atom; volume = 16.85 Å³/atom; symmetry = Ia-3d (230); magnetization = 140.0 μB/cell; energy relative to the elements, uncorrected = -3.319 eV per atom; D(E_F) = 0.000 states/eV per atom
1.0
-6.960 6.960 6.960
6.960 -6.960 6.960
6.960 6.960 -6.960
La Gd O
12 20 48
direct
0.125 0.250 0.375
0.125 0.375 0.750
0.250 0.375 0.125
0.250 0.875 0.625
0.375 0.125 0.250
0.375 0.750 0.125
0.625 0.250 0.875
0.625 0.875 0.750
0.750 0.125 0.375
0.750 0.625 0.875
0.875 0.625 0.250
0.875 0.750 0.625
0.000 0.000 0.000
0.000 0.000 0.500
0.000 0.500 0.000
0.000 0.500 0.500
0.125 0.750 0.875
0.125 0.875 0.250
0.250 0.125 0.875
0.250 0.625 0.375
0.375 0.250 0.625
0.375 0.625 0.750
0.500 0.000 0.000
0.500 0.000 0.500
0.500 0.500 0.000
0.500 0.500 0.500
0.625 0.375 0.250
0.625 0.750 0.375
0.750 0.375 0.625
0.750 0.875 0.125
0.875 0.125 0.750
0.875 0.250 0.125
0.041 0.216 0.131
0.041 0.325 0.910
0.085 0.716 0.675
0.085 0.869 0.410
0.090 0.631 0.415
0.090 0.959 0.675
0.131 0.041 0.216
0.131 0.590 0.915
0.175 0.216 0.585
0.175 0.459 0.590
0.216 0.131 0.041
0.216 0.585 0.175
0.284 0.325 0.915
0.284 0.459 0.369
0.325 0.910 0.041
0.325 0.915 0.284
0.369 0.284 0.459
0.369 0.585 0.910
0.410 0.085 0.869
0.410 0.825 0.541
0.415 0.090 0.631
0.415 0.825 0.784
0.459 0.369 0.284
0.459 0.590 0.175
0.541 0.410 0.825
0.541 0.631 0.716
0.585 0.175 0.216
0.585 0.910 0.369
0.590 0.175 0.459
0.590 0.915 0.131
0.631 0.415 0.090
0.631 0.716 0.541
0.675 0.085 0.716
0.675 0.090 0.959
0.716 0.541 0.631
0.716 0.675 0.085
0.784 0.415 0.825
0.784 0.869 0.959
0.825 0.541 0.410
0.825 0.784 0.415
0.869 0.410 0.085
0.869 0.959 0.784
0.910 0.041 0.325
0.910 0.369 0.585
0.915 0.131 0.590
0.915 0.284 0.325
0.959 0.675 0.090
0.959 0.784 0.869



La2GdO (PBE, optimized geometry); uncorrected energy = -8.403 eV per atom; volume = 27.89 Å³/atom; symmetry = R-3m (166); offset from the most stable computed form = 0.000 eV/atom; magnetization = 7.5 μB/cell; energy relative to the elements, uncorrected = -1.179 eV per atom; D(E_F) = 1.519 states/eV per atom
1.0
1.836 1.060 9.555
-1.836 1.060 9.555
0.000 -2.120 9.555
La Gd O
2 1 1
direct
0.118 0.118 0.118
0.882 0.882 0.882
0.000 0.000 0.000
0.500 0.500 0.500



LaGd3O (PBE, optimized geometry); uncorrected energy = -11.470 eV per atom; volume = 25.65 Å³/atom; symmetry = Pm-3m (221); magnetization = 22.1 μB/cell; energy relative to the elements, uncorrected = -1.044 eV per atom; D(E_F) = 1.252 states/eV per atom
1.0
5.043 0.000 0.000
0.000 5.043 0.000
0.000 0.000 5.043
La Gd O
1 3 1
direct
0.000 0.000 0.000
0.000 0.500 0.500
0.500 0.000 0.500
0.500 0.500 0.000
0.500 0.500 0.500



La2GdO (PBE, optimized geometry); uncorrected energy = -8.109 eV per atom; volume = 25.24 Å³/atom; symmetry = P4/mmm (123); offset from the most stable computed form = 0.294 eV/atom; magnetization = 7.8 μB/cell; energy relative to the elements, uncorrected = -0.885 eV per atom; D(E_F) = 1.416 states/eV per atom
1.0
3.267 0.000 0.000
0.000 3.267 0.000
0.000 0.000 9.460
La Gd O
2 1 1
direct
0.000 0.000 0.165
0.000 0.000 0.835
0.500 0.500 0.500
0.500 0.500 0.000